Material: Hf6In3B
Method: DFT, PBE
State: relaxed

* DFT formation energy: -0.01 eV/atom
* space-group type: C2/m, No. 12
* Fermi-level density of states: 8.4 states/eV/f.u.
* theoretical density: 10.644 g/cm³

Cell: 6.9930 6.1327 6.1327 Å, 60.92 77.50 77.50°
Element x y z (fractional)
Hf 0.3696 0.6408 0.1372
Hf 0.2013 0.6655 0.6655
Hf 0.3696 0.1372 0.6408
In 0.2467 0.1775 0.1775
Hf 0.6304 0.3592 0.8628
In 0.7533 0.8225 0.8225
Hf 0.6304 0.8628 0.3592
In 0.0000 0.0000 0.0000
B 0.5000 0.5000 0.5000
Hf 0.7987 0.3345 0.3345